A relaxed Eu2MgBr crystal. Source: Alexandria via LeMat-Bulk, functional PBE.

Calculated values
**Total moment**: 15.06 Bohr magnetons per cell
**Uncorrected energy**: -6.604 eV per atom
**Formation energy without anion corrections**: -62.7 kJ/mol of atoms

a b c (Å): 3.777 3.777 8.899
angles (deg): 90.00 90.00 90.00
Space group P4/mmm (No. 123)
Symmetry-distinct sites (fractional):
Eu 0.000 0.000 0.249 (multiplicity 2)
Mg 0.500 0.500 0.500 (multiplicity 1)
Br 0.500 0.500 0.000 (multiplicity 1)